[1]
VASP calculation (GGA-PBEsol) on a geometry-optimized In4Rh structure.

```
5
Lattice="-3.088 3.088 3.088 3.088 -3.088 3.088 3.088 3.088 -3.088" Properties=species:S:1:pos:R:3 pbc="T T T"
In 1.544 1.544 -1.544
In 1.544 -1.544 1.544
In -1.544 1.544 1.544
In 1.544 1.544 1.544
Rh 0.000 0.000 0.000
```

Computed properties:
* E_tot: -4.1435 eV per atom
* SG: Im-3m (229)
* energy of formation: -130 meV/atom
* calculated volume: 23.55 Å³/atom


[2]
VASP calculation (GGA-PBEsol) on a geometry-optimized InRh structure.

```
4
Lattice="0.000 3.213 3.213 3.213 0.000 3.213 3.213 3.213 0.000" Properties=species:S:1:pos:R:3 pbc="T T T"
In 0.803 0.803 0.803
In 5.623 5.623 5.623
Rh 2.410 2.410 2.410
Rh 4.017 4.017 4.017
```

Computed properties:
* E_tot: -5.5658 eV per atom
* SG: Fd-3m (227)
* energy of formation: -5 meV/atom
* calculated volume: 16.59 Å³/atom


[3]
VASP calculation (GGA-PBEsol) on a geometry-optimized InRh structure.

```
2
Lattice="3.185 0.000 0.000 0.000 3.185 0.000 0.000 0.000 3.185" Properties=species:S:1:pos:R:3 pbc="T T T"
In 0.000 0.000 0.000
Rh 1.593 1.593 1.593
```

Computed properties:
* E_tot: -5.9876 eV per atom
* SG: Pm-3m (221)
* energy of formation: -427 meV/atom
* calculated volume: 16.16 Å³/atom


Copy entry 3 word for word.
VASP calculation (GGA-PBEsol) on a geometry-optimized InRh structure.

```
2
Lattice="3.185 0.000 0.000 0.000 3.185 0.000 0.000 0.000 3.185" Properties=species:S:1:pos:R:3 pbc="T T T"
In 0.000 0.000 0.000
Rh 1.593 1.593 1.593
```

Computed properties:
* E_tot: -5.9876 eV per atom
* SG: Pm-3m (221)
* energy of formation: -427 meV/atom
* calculated volume: 16.16 Å³/atom